# 1
# PBE-GGA Tl4CdHg15, optimized geometry
# * ΔE_f: -13.8 meV per atom
# * space-group type: No. 123
# * total energy: -15.2 eV per cell
data_Tl4CdHg15
_chemical_formula_sum 'Tl4 Cd1 Hg15'
_cell_length_a 5.192
_cell_length_b 5.188
_cell_length_c 20.418
_cell_angle_alpha 90.00
_cell_angle_beta 90.00
_cell_angle_gamma 90.00
_space_group_name_H-M_alt 'P 1'
_space_group_IT_number 1
_space_group_name_Hall 'P 1'
loop_
_atom_site_label
_atom_site_type_symbol
_atom_site_fract_x
_atom_site_fract_y
_atom_site_fract_z
Tl1 Tl 0.000 0.000 0.191
Tl2 Tl 0.000 0.000 0.396
Tl3 Tl 0.000 0.000 0.604
Tl4 Tl 0.000 0.000 0.809
Cd1 Cd 0.000 0.000 0.000
Hg1 Hg 0.500 0.500 0.000
Hg2 Hg 0.500 0.500 0.192
Hg3 Hg 0.500 0.500 0.397
Hg4 Hg 0.500 0.500 0.603
Hg5 Hg 0.500 0.500 0.808
Hg6 Hg 0.500 0.000 0.092
Hg7 Hg 0.500 0.000 0.295
Hg8 Hg 0.500 0.000 0.500
Hg9 Hg 0.500 0.000 0.705
Hg10 Hg 0.500 0.000 0.908
Hg11 Hg 0.000 0.500 0.092
Hg12 Hg 0.000 0.500 0.295
Hg13 Hg 0.000 0.500 0.500
Hg14 Hg 0.000 0.500 0.705
Hg15 Hg 0.000 0.500 0.908


# 2
# PBE-GGA Sb2Te2I, optimized geometry
# * ΔE to the lowest computed polymorph: 21.3 kJ/mol of atoms
# * space-group type: No. 127
# * total energy: -30.4 eV per cell
data_Sb2Te2I
_chemical_formula_sum 'Sb4 Te4 I2'
_cell_length_a 9.485
_cell_length_b 9.485
_cell_length_c 3.766
_cell_angle_alpha 90.00
_cell_angle_beta 90.00
_cell_angle_gamma 90.00
_space_group_name_H-M_alt 'P 1'
_space_group_IT_number 1
_space_group_name_Hall 'P 1'
loop_
_atom_site_label
_atom_site_type_symbol
_atom_site_fract_x
_atom_site_fract_y
_atom_site_fract_z
I1 I 0.000 0.000 0.000
I2 I 0.500 0.500 0.000
Sb1 Sb 0.109 0.609 0.500
Sb2 Sb 0.609 0.891 0.500
Sb3 Sb 0.891 0.391 0.500
Sb4 Sb 0.391 0.109 0.500
Te1 Te 0.349 0.849 0.000
Te2 Te 0.849 0.651 0.000
Te3 Te 0.651 0.151 0.000
Te4 Te 0.151 0.349 0.000


# 3
# PBE-GGA Tb2Pr3Tm4, optimized geometry
# * ΔE to the lowest computed polymorph: 7.7 kJ/mol of atoms
# * ΔE_f: 102.9 meV per atom
# * space-group type: No. 15
# * total energy: -81.1 eV per cell
data_Tb2Pr3Tm4
_chemical_formula_sum 'Tb4 Pr6 Tm8'
_cell_length_a 6.044
_cell_length_b 11.237
_cell_length_c 11.237
_cell_angle_alpha 62.76
_cell_angle_beta 64.16
_cell_angle_gamma 64.16
_space_group_name_H-M_alt 'P 1'
_space_group_IT_number 1
_space_group_name_Hall 'P 1'
loop_
_atom_site_label
_atom_site_type_symbol
_atom_site_fract_x
_atom_site_fract_y
_atom_site_fract_z
Tb1 Tb 0.426 0.252 0.512
Tb2 Tb 0.074 0.488 0.748
Tb3 Tb 0.574 0.748 0.488
Tb4 Tb 0.926 0.512 0.252
Pr1 Pr 0.755 0.057 0.274
Pr2 Pr 0.745 0.726 0.943
Pr3 Pr 0.245 0.943 0.726
Pr4 Pr 0.255 0.274 0.057
Pr5 Pr 0.250 0.610 0.390
Pr6 Pr 0.750 0.390 0.610
Tm1 Tm 0.423 0.921 0.180
Tm2 Tm 0.077 0.820 0.079
Tm3 Tm 0.577 0.079 0.820
Tm4 Tm 0.923 0.180 0.921
Tm5 Tm 0.086 0.148 0.413
Tm6 Tm 0.414 0.587 0.852
Tm7 Tm 0.914 0.852 0.587
Tm8 Tm 0.586 0.413 0.148


# 4
# PBE-GGA Eu2PdN, optimized geometry
# * ΔE to the lowest computed polymorph: 15.8 kJ/mol of atoms
# * space-group type: No. 123
# * total energy: -36.2 eV per cell
data_Eu2PdN
_chemical_formula_sum 'Eu2 Pd1 N1'
_cell_length_a 3.201
_cell_length_b 3.201
_cell_length_c 7.285
_cell_angle_alpha 90.00
_cell_angle_beta 90.00
_cell_angle_gamma 90.00
_space_group_name_H-M_alt 'P 1'
_space_group_IT_number 1
_space_group_name_Hall 'P 1'
loop_
_atom_site_label
_atom_site_type_symbol
_atom_site_fract_x
_atom_site_fract_y
_atom_site_fract_z
Eu1 Eu 0.000 0.000 0.804
Eu2 Eu 0.000 0.000 0.196
Pd1 Pd 0.500 0.500 0.500
N1 N 0.500 0.500 0.000


# 5
# PBE-GGA CsIn2Br, optimized geometry
# * ΔE to the lowest computed polymorph: 0.0 kJ/mol of atoms
# * space-group type: No. 122
# * total energy: -19.8 eV per cell
data_CsIn2Br
_chemical_formula_sum 'Cs2 In4 Br2'
_cell_length_a 5.153
_cell_length_b 5.153
_cell_length_c 13.236
_cell_angle_alpha 78.78
_cell_angle_beta 78.78
_cell_angle_gamma 90.00
_space_group_name_H-M_alt 'P 1'
_space_group_IT_number 1
_space_group_name_Hall 'P 1'
loop_
_atom_site_label
_atom_site_type_symbol
_atom_site_fract_x
_atom_site_fract_y
_atom_site_fract_z
Cs1 Cs 0.000 0.000 0.000
Cs2 Cs 0.750 0.250 0.500
Br1 Br 0.500 0.500 0.000
Br2 Br 0.250 0.750 0.500
In1 In 0.512 0.125 0.250
In2 In 0.238 0.625 0.250
In3 In 0.375 0.488 0.750
In4 In 0.875 0.762 0.750


# 6
# PBE-GGA YP4Ru, optimized geometry
# * ΔE_f: 208.2 meV per atom
# * space-group type: No. 216
# * total energy: -36.1 eV per cell
data_YP4Ru
_chemical_formula_sum 'Y1 P4 Ru1'
_cell_length_a 5.135
_cell_length_b 5.135
_cell_length_c 5.135
_cell_angle_alpha 60.00
_cell_angle_beta 60.00
_cell_angle_gamma 60.00
_space_group_name_H-M_alt 'P 1'
_space_group_IT_number 1
_space_group_name_Hall 'P 1'
loop_
_atom_site_label
_atom_site_type_symbol
_atom_site_fract_x
_atom_site_fract_y
_atom_site_fract_z
Y1 Y 0.000 0.000 0.000
P1 P 0.622 0.622 0.134
P2 P 0.622 0.134 0.622
P3 P 0.622 0.622 0.622
P4 P 0.134 0.622 0.622
Ru1 Ru 0.250 0.250 0.250


# 7
# PBE-GGA TlInHg4Pb2, optimized geometry
# * ΔE_f: 41.0 meV per atom
# * space-group type: No. 12
# * total energy: -26.8 eV per cell
data_TlInHg4Pb2
_chemical_formula_sum 'Tl2 In2 Hg8 Pb4'
_cell_length_a 9.023
_cell_length_b 9.032
_cell_length_c 11.183
_cell_angle_alpha 128.24
_cell_angle_beta 128.30
_cell_angle_gamma 87.65
_space_group_name_H-M_alt 'P 1'
_space_group_IT_number 1
_space_group_name_Hall 'P 1'
loop_
_atom_site_label
_atom_site_type_symbol
_atom_site_fract_x
_atom_site_fract_y
_atom_site_fract_z
Tl1 Tl 0.500 0.500 0.500
Tl2 Tl 0.000 0.000 0.000
In1 In 0.000 0.500 0.000
In2 In 0.000 0.500 0.500
Hg1 Hg 0.244 0.745 0.994
Hg2 Hg 0.755 0.256 0.505
Hg3 Hg 0.245 0.744 0.494
Hg4 Hg 0.756 0.255 0.006
Hg5 Hg 0.755 0.745 0.998
Hg6 Hg 0.755 0.745 0.502
Hg7 Hg 0.245 0.255 0.498
Hg8 Hg 0.245 0.255 0.002
Pb1 Pb 0.500 0.000 0.000
Pb2 Pb 0.500 0.000 0.500
Pb3 Pb 0.000 0.000 0.500
Pb4 Pb 0.500 0.500 0.000


# 8
# PBE-GGA RbTl3Sb, optimized geometry
# * ΔE to the lowest computed polymorph: 89.3 kJ/mol of atoms
# * space-group type: No. 221
# * total energy: -8.2 eV per cell
data_RbTl3Sb
_chemical_formula_sum 'Rb1 Tl3 Sb1'
_cell_length_a 6.214
_cell_length_b 6.214
_cell_length_c 6.214
_cell_angle_alpha 90.00
_cell_angle_beta 90.00
_cell_angle_gamma 90.00
_space_group_name_H-M_alt 'P 1'
_space_group_IT_number 1
_space_group_name_Hall 'P 1'
loop_
_atom_site_label
_atom_site_type_symbol
_atom_site_fract_x
_atom_site_fract_y
_atom_site_fract_z
Sb1 Sb 0.500 0.500 0.500
Tl1 Tl 0.000 0.500 0.000
Tl2 Tl 0.000 0.000 0.500
Tl3 Tl 0.500 0.000 0.000
Rb1 Rb 0.000 0.000 0.000


The evaluated magnetic moment for the records listed, in turn: 0.0 0.0 0.0 13.6 0.0 0.0 0.0 0.0 Bohr magnetons per cell.
The evaluated density of states at the Fermi level for the records listed, in turn: 7.6 2.9 13.5 4.5 1.5 3.2 3.7 2.8 states/eV/f.u..